K2CaTc: optimized geometry, GGA-PBE.

Computed properties:
Calculated formation energy in meV per atom: 1156
Total moment in μB/atom: 0.6984
Crystal system: tetragonal
Distance to the lowest polymorph of the same formula in eV per formula unit: 1.39

a = 4.670 Å, b = 4.670 Å, c = 13.673 Å
α = 80.17°, β = 80.17°, γ = 90.00°
Last column: magnetic moment on the atom in μB.
Atoms (fractional coordinates):
1 K 0.639 0.125 0.250  -0.01
2 K 0.111 0.625 0.250  -0.01
3 K 0.375 0.361 0.750  -0.01
4 K 0.875 0.889 0.750  -0.01
5 Ca 0.500 0.500 0.000  -0.04
6 Ca 0.250 0.750 0.500  -0.04
7 Tc 0.000 0.000 0.000  2.69
8 Tc 0.750 0.250 0.500  2.70